HfFeNF2 (PBE+U, relaxed); magnetization = 0.6 μB/cell; energy above the lowest structure with this stoichiometry = 0.8411 eV/atom; space-group type = P4/mmm (123)
1.0
3.6666 0.0000 0.0000
0.0000 3.6666 0.0000
0.0000 0.0000 4.2945
Hf Fe N F
1 1 1 2
Direct
0.0000 0.0000 0.0000 Hf
0.5000 0.5000 0.5000 Fe
0.5000 0.5000 0.0000 N
0.0000 0.5000 0.5000 F
0.5000 0.0000 0.5000 F